This record from Alexandria describes a relaxed Na5Fe2P2C2O14 crystal. The functional is GGA+U.

```
50
Lattice="6.620 -0.032 0.010 -0.124 8.997 -0.063 -0.018 -0.173 10.574" Properties=species:S:1:pos:R:3 pbc="T T T"
Na 4.689 8.216 1.252
Na 4.734 8.107 6.780
Na 6.433 6.476 9.197
Na -0.096 6.514 3.977
Na 3.287 6.439 4.102
Na 0.045 2.316 1.324
Na 3.191 2.353 6.419
Na 6.574 2.278 6.544
Na 1.789 0.576 9.269
Na 1.744 0.685 3.741
Fe 1.650 5.731 1.427
Fe 1.579 5.858 6.780
Fe 4.827 3.061 9.094
Fe 4.899 2.934 3.741
P 4.937 5.119 1.123
P 4.900 5.139 6.389
P 1.541 3.673 9.398
P 1.578 3.653 4.132
C 1.483 8.246 1.157
C 1.495 8.461 6.329
C 4.995 0.546 9.364
C 4.983 0.331 4.192
O 5.041 8.293 9.455
O 4.881 8.055 4.342
O 1.618 7.695 2.347
O 1.487 7.975 7.537
O 1.557 7.413 0.150
O 1.541 7.623 5.322
O 6.160 6.036 1.471
O 3.678 5.975 1.490
O 6.090 6.028 6.837
O 3.622 5.981 6.611
O 1.504 5.006 8.677
O 1.611 4.991 3.299
O 4.949 4.695 10.142
O 5.020 4.783 4.884
O 1.529 4.097 0.379
O 1.458 4.009 5.637
O 4.974 3.786 1.844
O 4.867 3.801 7.222
O 2.800 2.816 9.031
O 0.318 2.756 9.050
O 2.855 2.811 3.911
O 0.388 2.764 3.684
O 4.921 1.379 10.372
O 4.937 1.168 5.200
O 4.859 1.097 8.174
O 4.991 0.817 2.984
O 1.436 0.499 1.066
O 1.597 0.737 6.179
```

## Properties
As for the energy above the most stable polymorph in this dataset: 6 meV per atom. Its symmetry is P-1, No. 2. The final energy comes out at -6.572 eV per atom. The mass density is 2.8 g cm⁻³. The calculated volume is 630 Å³ per cell.